# 1
This record from the Alexandria database describes a relaxed structure of AcAgSb2. The functional is PBE-GGA.

Summary:
* V: 116.25 Å³/cell
* uncorrected formation energy: -0.30 eV per atom
* energy: -16.4 eV per formula unit
* excess energy over the best structure of this formula in the dataset: 9.14 kcal/mol of atoms
* calculated density: 8.262 g/cm3

a b c (Å): 4.1443 4.1443 6.7686
angles (deg): 90.00 90.00 90.00
With the nearest neighbours (Å) after each atom.
Fractional coordinates of all 4 atoms:
Ac: 0.0000 0.0000 0.0000  2 Ag 3.38, 8 Sb 3.50
Ag: 0.0000 0.0000 0.5000  8 Sb 3.28, 2 Ac 3.38
Sb: 0.5000 0.5000 0.2832  1 Sb 2.94, 4 Ag 3.28
Sb: 0.5000 0.5000 0.7168  1 Sb 2.94, 4 Ag 3.28



# 2
This record from the Alexandria database describes a relaxed structure of AcScAgSb. The functional is PBE-GGA.

Summary:
* V: 110.58 Å³/cell
* uncorrected formation energy: -0.41 eV per atom
* energy: -19.1 eV per formula unit
* calculated density: 7.532 g/cm3

a b c (Å): 5.3877 5.3877 5.3877
angles (deg): 60.00 60.00 60.00
With the nearest neighbours (Å) after each atom.
Fractional coordinates of all 4 atoms:
Ac: 0.0000 0.0000 0.0000  4 Sb 3.30, 4 Ag 3.30
Sc: 0.5000 0.5000 0.5000  4 Sb 3.30, 4 Ag 3.30
Ag: 0.7500 0.7500 0.7500  4 Sc 3.30, 4 Ac 3.30
Sb: 0.2500 0.2500 0.2500  4 Ac 3.30, 4 Sc 3.30



# 3
This record from the Alexandria database describes a relaxed structure of AcAg2SbSe4. The functional is PBE-GGA.

Summary:
* V: 218.88 Å³/cell
* uncorrected formation energy: -0.63 eV per atom
* energy: -32.9 eV per formula unit
* calculated density: 6.679 g/cm3

a b c (Å): 6.5862 6.5862 6.5862
angles (deg): 112.41 111.15 104.95
With the nearest neighbours (Å) after each atom.
Fractional coordinates of all 8 atoms:
Ac: 0.0000 0.0000 0.0000  8 Se 3.29-3.38
Ag: 0.3176 0.8176 0.5000  4 Se 2.59-2.84
Ag: 0.6824 0.1824 0.5000  4 Se 2.59-2.84
Sb: 0.5000 0.5000 0.0000  4 Se 2.80
Se: 0.0865 0.0805 0.5552  2 Ag 2.59-2.84, 1 Sb 2.80
Se: 0.4747 0.9195 0.0059  2 Ag 2.59-2.84, 1 Sb 2.80
Se: 0.5253 0.5313 0.4448  2 Ag 2.59-2.84, 1 Sb 2.80
Se: 0.9135 0.4687 0.9941  2 Ag 2.59-2.84, 1 Sb 2.80



# 4
This record from the Alexandria database describes a relaxed structure of Ac2AgSbSe6. The functional is PBE-GGA.

Summary:
* V: 563.34 Å³/cell
* uncorrected formation energy: -1.06 eV per atom
* energy: -46.7 eV per formula unit
* calculated density: 6.823 g/cm3

a b c (Å): 7.0394 7.9299 12.1034
angles (deg): 90.00 123.51 90.00
With the nearest neighbours (Å) after each atom.
Fractional coordinates of all 20 atoms:
Ac: 0.2040 0.1097 0.2494  8 Se 3.13-3.51
Ac: 0.2040 0.3903 0.7494  8 Se 3.13-3.51
Ac: 0.7960 0.6097 0.2506  8 Se 3.13-3.51
Ac: 0.7960 0.8903 0.7506  8 Se 3.13-3.51
Ag: 0.0000 0.0000 0.5000  6 Se 2.67-2.90
Ag: 0.0000 0.5000 0.0000  6 Se 2.67-2.90
Sb: 0.5000 0.0000 0.0000  6 Se 2.69-2.81
Sb: 0.5000 0.5000 0.5000  6 Se 2.69-2.81
Se: 0.1266 0.1749 0.9490  1 Sb 2.72, 1 Ag 2.90
Se: 0.1266 0.3251 0.4490  1 Sb 2.72, 1 Ag 2.90
Se: 0.2766 0.6890 0.9500  1 Ag 2.78, 1 Sb 2.81
Se: 0.2766 0.8110 0.4500  1 Ag 2.78, 1 Sb 2.81
Se: 0.3707 0.0249 0.7463  1 Ag 2.67, 1 Sb 2.69
Se: 0.3707 0.4751 0.2463  1 Ag 2.67, 1 Sb 2.69
Se: 0.6293 0.5249 0.7537  1 Ag 2.67, 1 Sb 2.69
Se: 0.6293 0.9751 0.2537  1 Ag 2.67, 1 Sb 2.69
Se: 0.7234 0.1890 0.5500  1 Ag 2.78, 1 Sb 2.81
Se: 0.7234 0.3110 0.0500  1 Ag 2.78, 1 Sb 2.81
Se: 0.8734 0.6749 0.5510  1 Sb 2.72, 1 Ag 2.90
Se: 0.8734 0.8251 0.0510  1 Sb 2.72, 1 Ag 2.90



# 5
This record from the Alexandria database describes a relaxed structure of Ac2AgSbSe5. The functional is PBE-GGA.

Summary:
* V: 502.97 Å³/cell
* uncorrected formation energy: -1.20 eV per atom
* energy: -43.4 eV per formula unit
* calculated density: 7.121 g/cm3

a b c (Å): 9.4276 9.4276 12.7317
angles (deg): 90.00 90.00 153.61
With the nearest neighbours (Å) after each atom.
Fractional coordinates of all 18 atoms:
Ac: 0.1120 0.8880 0.5000  8 Se 3.17-3.37
Ac: 0.1239 0.8761 0.1181  8 Se 3.16-3.31
Ac: 0.8761 0.1239 0.6181  8 Se 3.16-3.31
Ac: 0.8880 0.1120 0.0000  8 Se 3.17-3.37
Ag: 0.4921 0.5079 0.2916  4 Se 2.59-2.79
Ag: 0.5079 0.4921 0.7916  4 Se 2.59-2.79
Sb: 0.1926 0.8074 0.8182  5 Se 2.69-3.00
Sb: 0.8074 0.1926 0.3182  5 Se 2.69-3.00
Se: 0.0533 0.9467 0.8846  2 Ag 2.59, 1 Sb 2.69
Se: 0.2861 0.7139 0.4721  2 Sb 2.94, 3 Ac 3.22-3.29
Se: 0.3015 0.6985 0.1542  2 Sb 3.00, 3 Ac 3.29-3.32
Se: 0.3570 0.6430 0.8135  1 Ag 2.79, 1 Sb 3.02
Se: 0.4994 0.5006 0.0881  1 Ag 2.59
Se: 0.5006 0.4994 0.5881  1 Ag 2.59
Se: 0.6430 0.3570 0.3135  1 Ag 2.79, 1 Sb 3.02
Se: 0.6985 0.3015 0.6542  2 Sb 3.00, 3 Ac 3.29-3.32
Se: 0.7139 0.2861 0.9721  2 Sb 2.94, 3 Ac 3.22-3.29
Se: 0.9467 0.0533 0.3846  2 Ag 2.59, 1 Sb 2.69



# 6
This record from the Alexandria database describes a relaxed structure of AcSmAgSb. The functional is PBE-GGA.

Summary:
* V: 118.86 Å³/cell
* uncorrected formation energy: -0.54 eV per atom
* energy: -18.0 eV per formula unit
* calculated density: 8.480 g/cm3

a b c (Å): 5.5189 5.5189 5.5189
angles (deg): 60.00 60.00 60.00
With the nearest neighbours (Å) after each atom.
Fractional coordinates of all 4 atoms:
Ac: 0.0000 0.0000 0.0000  4 Sb 3.38, 4 Ag 3.38
Sm: 0.5000 0.5000 0.5000  4 Sb 3.38, 4 Ag 3.38
Ag: 0.2500 0.2500 0.2500  4 Ac 3.38, 4 Sm 3.38
Sb: 0.7500 0.7500 0.7500  4 Ac 3.38, 4 Sm 3.38